DFT (PBE) results for crystalline KPbAuS3 at its relaxed geometry.

Cell: 6.737 6.737 11.291 Å, 90.00 90.00 142.29°
Fractional positions:
1 K 0.208 0.792 0.750
2 K 0.792 0.208 0.250
3 Pb 0.500 0.500 0.000
4 Pb 0.500 0.500 0.500
5 Au 0.090 0.910 0.250
6 Au 0.910 0.090 0.750
7 S 0.143 0.857 0.046
8 S 0.143 0.857 0.454
9 S 0.484 0.516 0.250
10 S 0.516 0.484 0.750
11 S 0.857 0.143 0.546
12 S 0.857 0.143 0.954

Values from the calculation:
- uncorrected energy (eV per atom) = -3.75


DFT (PBE) results for crystalline KPbAuSe2S at its relaxed geometry.

Cell: 6.623 6.623 11.676 Å, 90.00 90.00 140.69°
Fractional positions:
1 K 0.209 0.791 0.750
2 K 0.791 0.209 0.250
3 Pb 0.500 0.500 0.000
4 Pb 0.500 0.500 0.500
5 Au 0.079 0.921 0.250
6 Au 0.921 0.079 0.750
7 Se 0.159 0.841 0.041
8 Se 0.159 0.841 0.459
9 Se 0.841 0.159 0.541
10 Se 0.841 0.159 0.959
11 S 0.493 0.507 0.250
12 S 0.507 0.493 0.750

Values from the calculation:
- uncorrected energy (eV per atom) = -3.60


DFT (PBE) results for crystalline KPbAuSeS2 at its relaxed geometry.

Cell: 7.365 7.365 11.427 Å, 90.00 90.00 146.38°
Fractional positions:
1 K 0.221 0.779 0.750
2 K 0.779 0.221 0.250
3 Pb 0.500 0.500 0.000
4 Pb 0.500 0.500 0.500
5 Au 0.095 0.905 0.250
6 Au 0.905 0.095 0.750
7 Se 0.466 0.534 0.250
8 Se 0.534 0.466 0.750
9 S 0.131 0.869 0.049
10 S 0.131 0.869 0.451
11 S 0.869 0.131 0.549
12 S 0.869 0.131 0.951

Values from the calculation:
- uncorrected energy (eV per atom) = -3.65


DFT (PBE) results for crystalline KTe3PbAu at its relaxed geometry.

Cell: 7.279 7.279 12.442 Å, 90.00 90.00 143.78°
Fractional positions:
1 K 0.237 0.763 0.750
2 K 0.763 0.237 0.250
3 Te 0.161 0.839 0.044
4 Te 0.161 0.839 0.456
5 Te 0.462 0.538 0.250
6 Te 0.538 0.462 0.750
7 Te 0.839 0.161 0.544
8 Te 0.839 0.161 0.956
9 Pb 0.500 0.500 0.000
10 Pb 0.500 0.500 0.500
11 Au 0.074 0.926 0.250
12 Au 0.926 0.074 0.750

Values from the calculation:
- uncorrected energy (eV per atom) = -3.27


DFT (PBE) results for crystalline KPdAu at its relaxed geometry.

Cell: 5.733 5.741 8.032 Å, 90.00 90.00 90.00°
Fractional positions:
1 K 0.000 0.250 0.128
2 K 0.000 0.750 0.872
3 K 0.500 0.250 0.372
4 K 0.500 0.750 0.628
5 Pd 0.000 0.000 0.500
6 Pd 0.000 0.500 0.500
7 Pd 0.500 0.000 0.000
8 Pd 0.500 0.500 0.000
9 Au 0.250 0.250 0.750
10 Au 0.250 0.750 0.250
11 Au 0.750 0.250 0.750
12 Au 0.750 0.750 0.250

Values from the calculation:
- E above lowest polymorph (eV per atom) = 0.0000


DFT (PBE) results for crystalline KPdAu at its relaxed geometry.

Cell: 6.988 6.988 6.988 Å, 90.00 90.00 90.00°
Fractional positions:
1 K 0.000 0.000 0.000
2 K 0.000 0.500 0.500
3 K 0.500 0.000 0.500
4 K 0.500 0.500 0.000
5 Pd 0.250 0.250 0.250
6 Pd 0.250 0.750 0.750
7 Pd 0.750 0.250 0.750
8 Pd 0.750 0.750 0.250
9 Au 0.250 0.250 0.750
10 Au 0.250 0.750 0.250
11 Au 0.750 0.250 0.250
12 Au 0.750 0.750 0.750

Values from the calculation:
- E above lowest polymorph (eV per atom) = 0.8912


DFT (PBE) results for crystalline KPdAu at its relaxed geometry.

Cell: 6.818 6.818 6.818 Å, 90.00 90.00 90.00°
Fractional positions:
1 K 0.000 0.000 0.000
2 K 0.000 0.500 0.500
3 K 0.500 0.000 0.500
4 K 0.500 0.500 0.000
5 Pd 0.250 0.250 0.750
6 Pd 0.250 0.750 0.250
7 Pd 0.750 0.250 0.250
8 Pd 0.750 0.750 0.750
9 Au 0.000 0.000 0.500
10 Au 0.000 0.500 0.000
11 Au 0.500 0.000 0.000
12 Au 0.500 0.500 0.500

Values from the calculation:
- E above lowest polymorph (eV per atom) = 0.4535


DFT (PBE) results for crystalline KPdAuS3 at its relaxed geometry.

Cell: 7.896 7.896 10.057 Å, 90.00 90.00 153.10°
Fractional positions:
1 K 0.215 0.785 0.750
2 K 0.785 0.215 0.250
3 Pd 0.500 0.500 0.000
4 Pd 0.500 0.500 0.500
5 Au 0.105 0.895 0.250
6 Au 0.895 0.105 0.750
7 S 0.103 0.897 0.020
8 S 0.103 0.897 0.480
9 S 0.456 0.544 0.250
10 S 0.544 0.456 0.750
11 S 0.897 0.103 0.520
12 S 0.897 0.103 0.980

Values from the calculation:
- uncorrected energy (eV per atom) = -3.95